[1]
Compound: TmScZn
Source: Alexandria via LeMat-Bulk
Functional: PBE
Structure: optimized geometry

```
TmScZn
1.0
-3.2783 1.0673 -0.1326
-0.8389 -2.0441 4.2870
1.4999 4.5776 -0.2367
Sc Zn Tm
1 1 1
Direct
0.1102 0.0000 0.0000
0.2491 0.3333 0.6667
0.6407 0.6667 0.3333
```

## Properties
- calculated density (g/cm³) = 6.67
- total moment (μB/atom) = 0.00
- excess energy over the best structure of this formula in the dataset (meV/atom) = 134
- energy relative to the elements (meV/atom) = -73.8
- calculated volume (Å³ per cell) = 70

=====

[2]
Compound: TmScZn3
Source: Alexandria via LeMat-Bulk
Functional: PBE
Structure: optimized geometry

```
TmScZn3
1.0
4.2066 0.0000 -1.1566
-0.3071 5.3084 -1.1168
0.1368 -0.1067 8.7254
Zn Tm Sc
6 2 2
Direct
0.0514 0.7472 0.1027
0.8271 0.8516 0.6542
0.9486 0.2528 0.8973
0.1729 0.1484 0.3458
0.6446 0.8528 0.2893
0.3554 0.1472 0.7107
0.5722 0.3046 0.1444
0.4278 0.6954 0.8556
0.2232 0.6777 0.4463
0.7768 0.3223 0.5537
```

## Properties
- calculated density (g/cm³) = 6.98
- total moment (μB/atom) = 0.00
- energy relative to the elements (meV/atom) = -298.1
- calculated volume (Å³ per cell) = 195

=====

[3]
Compound: TmSc4Zn5
Source: Alexandria via LeMat-Bulk
Functional: PBE
Structure: optimized geometry

```
TmSc4Zn5
1.0
3.3813 0.0000 0.0000
0.0000 3.3813 0.0000
0.0000 0.0000 16.9497
Sc Zn Tm
4 5 1
Direct
0.0000 0.0000 0.2060
0.0000 0.0000 0.5978
0.0000 0.0000 0.7940
0.0000 0.0000 0.4022
0.5000 0.5000 0.8897
0.5000 0.5000 0.5000
0.5000 0.5000 0.3040
0.5000 0.5000 0.6960
0.5000 0.5000 0.1103
0.0000 0.0000 0.0000
```

## Properties
- calculated density (g/cm³) = 5.79
- total moment (μB/atom) = 0.00
- energy relative to the elements (meV/atom) = -365.0
- calculated volume (Å³ per cell) = 194

=====

[4]
Compound: TmZrScZn
Source: Alexandria via LeMat-Bulk
Functional: PBE
Structure: optimized geometry

```
TmZrScZn
1.0
3.3197 0.0000 0.0000
0.0000 3.3197 0.0000
0.0000 0.0000 8.2150
Zr Tm Zn Sc
1 1 1 1
Direct
0.0000 0.0000 0.0837
0.5000 0.5000 0.7977
0.0000 0.0000 0.5567
0.5000 0.5000 0.3466
```

## Properties
- calculated density (g/cm³) = 6.80
- total moment (μB/atom) = 0.00
- energy relative to the elements (meV/atom) = -170.1
- calculated volume (Å³ per cell) = 91

=====

[5]
Compound: TmZr3Sc4
Source: Alexandria via LeMat-Bulk
Functional: PBE
Structure: optimized geometry

```
TmZr3Sc4
1.0
3.2259 0.0000 0.0000
0.0000 5.1147 0.0000
0.0000 0.0000 11.8460
Tm Zr Sc
1 3 4
Direct
0.5000 0.5000 0.0581
0.0000 0.5000 0.5559
0.5000 0.0000 0.9373
0.0000 0.0000 0.4456
0.0000 0.0000 0.1790
0.5000 0.0000 0.6778
0.5000 0.5000 0.3287
0.0000 0.5000 0.8177
```

## Properties
- calculated density (g/cm³) = 5.29
- total moment (μB/atom) = 0.00
- energy relative to the elements (meV/atom) = 23.4
- calculated volume (Å³ per cell) = 195

=====

[6]
Compound: TmZr6Sc12
Source: Alexandria via LeMat-Bulk
Functional: PBE
Structure: optimized geometry

```
TmZr6Sc12
1.0
7.7898 -0.7071 -1.9776
-2.8590 7.2608 -0.3588
-0.0757 1.5942 8.2094
Zr Tm Sc
6 1 12
Direct
0.2715 0.7868 0.1122
0.0554 0.1780 0.5629
0.7040 0.0494 0.2475
0.2960 0.9506 0.7525
0.9446 0.8220 0.4371
0.7285 0.2132 0.8878
0.0000 0.0000 0.0000
0.7892 0.3706 0.5205
0.1522 0.4598 0.8352
0.8939 0.6552 0.8004
0.4745 0.4151 0.6822
0.1061 0.3448 0.1996
0.4381 0.2573 0.0414
0.5255 0.5849 0.3178
0.2108 0.6294 0.4795
0.8478 0.5402 0.1648
0.6519 0.9065 0.6126
0.3481 0.0935 0.3874
0.5619 0.7427 0.9586
```

## Properties
- calculated density (g/cm³) = 4.53
- total moment (μB/atom) = 0.00
- excess energy over the best structure of this formula in the dataset (meV/atom) = 0
- energy relative to the elements (meV/atom) = 46.3
- calculated volume (Å³ per cell) = 460